Density functional theory data (GGA-PBE) for a geometry-optimized CaPbClO2 structure.

Its symmetry is P2_1/m (11). The uncorrected formation energy comes out at -8.70 eV/f.u. For the size of the total moment, the calculation gives 0.00 μB/f.u. For the density of states at the Fermi level, the calculation gives 2.6 states/eV/cell.

Lattice parameters (Å, degrees): 6.510 4.210 8.022 90.00 100.41 90.00
Element x y z (fractional)
Ca1 0.177 0.250 0.408
Ca2 0.823 0.750 0.592
Pb1 0.151 0.250 0.882
Pb2 0.849 0.750 0.118
Cl1 0.478 0.750 0.298
Cl2 0.522 0.250 0.702
O1 0.012 0.750 0.889
O2 0.013 0.750 0.376
O3 0.987 0.250 0.624
O4 0.988 0.250 0.111



Density functional theory data (GGA-PBE) for a geometry-optimized YBeAl2 structure.

Its symmetry is P4mm (99). The formation energy comes out at -0.0464 eV per atom. For the size of the total moment, the calculation gives 0.00 μB/f.u. For the density of states at the Fermi level, the calculation gives 2.2 states/eV/cell.

Lattice parameters (Å, degrees): 3.260 3.260 6.757 90.00 90.00 90.00
Element x y z (fractional)
Y1 0.000 0.000 0.000
Be1 0.500 0.500 0.702
Al1 0.000 0.000 0.544
Al2 0.500 0.500 0.315



Density functional theory data (GGA-PBE) for a geometry-optimized Cs3CaBi structure.

Its symmetry is Pm-3m (221). The formation energy comes out at 0.0990 eV per atom. For the size of the total moment, the calculation gives 0.00 μB/f.u. For the density of states at the Fermi level, the calculation gives 3.6 states/eV/cell.

Lattice parameters (Å, degrees): 7.599 7.599 7.599 90.00 90.00 90.00
Element x y z (fractional)
Cs1 0.000 0.000 0.500
Cs2 0.000 0.500 0.000
Cs3 0.500 0.000 0.000
Ca1 0.500 0.500 0.500
Bi1 0.000 0.000 0.000



Density functional theory data (GGA-PBE) for a geometry-optimized AgPtRh2N structure.

Its symmetry is P4/mmm (123). The uncorrected formation energy comes out at 9.95 eV/f.u. For the size of the total moment, the calculation gives 1.22 μB/f.u. For the density of states at the Fermi level, the calculation gives 8.7 states/eV/cell.

Lattice parameters (Å, degrees): 4.970 4.970 3.619 90.00 90.00 90.00
Element x y z (fractional)
Ag1 0.000 0.000 0.000
Pt1 0.500 0.500 0.500
Rh1 0.000 0.500 0.000
Rh2 0.500 0.000 0.000
N1 0.000 0.000 0.500